# ZrCo2HgRu

ZrCo2HgRu after structural relaxation (PBE-GGA, Alexandria).

The structure in POSCAR format:
```
ZrCo2HgRu
1.0
4.602 0.000 0.000
0.000 4.602 0.000
0.000 0.000 4.872
Zr Co Hg Ru
1 2 1 1
Direct
0.000 0.000 0.000 Zr
0.000 0.500 0.500 Co
0.500 0.000 0.500 Co
0.500 0.500 0.000 Hg
0.000 0.000 0.500 Ru
```

Computed properties:
Symmetry: P4/mmm (123)
DOS at the Fermi energy, states/eV per atom: 1.39
E_form, eV/atom: 0.87


# Co2HgS

Co2HgS after structural relaxation (PBE-GGA, Alexandria).

The structure in POSCAR format:
```
Co2HgS
1.0
0.000 3.088 3.088
3.088 0.000 3.088
3.088 3.088 0.000
Co Hg S
2 1 1
Direct
0.250 0.250 0.250 Co
0.750 0.750 0.750 Co
0.000 0.000 0.000 Hg
0.500 0.500 0.500 S
```

Computed properties:
ΔE_f (raw), eV/f.u.: 2.3
Symmetry: Fm-3m (225)
DOS at the Fermi energy, states/eV per atom: 1.97


# CoHgS2

CoHgS2 after structural relaxation (PBE-GGA, Alexandria).

The structure in POSCAR format:
```
CoHgS2
1.0
1.962 1.133 7.156
-1.962 1.133 7.156
0.000 -2.266 7.156
Co Hg S
1 1 2
Direct
0.000 0.000 0.000 Co
0.500 0.500 0.500 Hg
0.098 0.098 0.098 S
0.902 0.902 0.902 S
```

Computed properties:
ΔE_f (raw), eV/f.u.: 1.5
Symmetry: R-3m (166)
DOS at the Fermi energy, states/eV per atom: 2.09


# Co2HgS2

Co2HgS2 after structural relaxation (PBE-GGA, Alexandria).

The structure in POSCAR format:
```
Co2HgS2
1.0
-1.810 1.810 8.279
1.810 -1.810 8.279
1.810 1.810 -8.279
Co Hg S
2 1 2
Direct
0.250 0.750 0.500 Co
0.750 0.250 0.500 Co
0.000 0.000 0.000 Hg
0.323 0.323 0.000 S
0.677 0.677 0.000 S
```

Computed properties:
ΔE_f (raw), eV/f.u.: -1.6
Symmetry: I4/mmm (139)
DOS at the Fermi energy, states/eV per atom: 0.66


# CoHgS2

CoHgS2 after structural relaxation (PBE-GGA, Alexandria).

The structure in POSCAR format:
```
CoHgS2
1.0
-2.878 2.878 4.982
2.878 -2.878 4.982
2.878 2.878 -4.982
Co Hg S
2 2 4
Direct
0.000 0.000 0.000 Co
0.750 0.250 0.500 Co
0.250 0.750 0.500 Hg
0.500 0.500 0.000 Hg
0.043 0.625 0.918 S
0.375 0.293 0.418 S
0.707 0.125 0.082 S
0.875 0.957 0.582 S
```

Computed properties:
ΔE_f (raw), eV/f.u.: -0.5
Symmetry: I-42d (122)
DOS at the Fermi energy, states/eV per atom: 1.05


# CoHgS2

CoHgS2 after structural relaxation (PBE-GGA, Alexandria).

The structure in POSCAR format:
```
CoHgS2
1.0
1.696 0.979 7.566
-1.696 0.979 7.566
0.000 -1.958 7.566
Co Hg S
1 1 2
Direct
0.000 0.000 0.000 Co
0.500 0.500 0.500 Hg
0.382 0.382 0.382 S
0.618 0.618 0.618 S
```

Computed properties:
ΔE_f (raw), eV/f.u.: -0.9
Symmetry: R-3m (166)
DOS at the Fermi energy, states/eV per atom: 0.88


# CoHgS4

CoHgS4 after structural relaxation (PBE-GGA, Alexandria).

The structure in POSCAR format:
```
CoHgS4
1.0
5.927 0.000 0.000
-1.276 6.359 0.000
-0.500 -2.798 7.448
Co Hg S
2 2 8
Direct
0.095 0.027 0.301 Co
0.905 0.973 0.699 Co
0.465 0.896 0.202 Hg
0.535 0.104 0.798 Hg
0.055 0.784 0.453 S
0.160 0.231 0.911 S
0.180 0.284 0.177 S
0.290 0.319 0.547 S
0.710 0.681 0.453 S
0.820 0.716 0.823 S
0.840 0.769 0.089 S
0.945 0.216 0.547 S
```

Computed properties:
ΔE_f (raw), eV/f.u.: -0.3
Symmetry: P-1 (2)
DOS at the Fermi energy, states/eV per atom: 0.40


# CoHgS4

CoHgS4 after structural relaxation (PBE-GGA, Alexandria).

The structure in POSCAR format:
```
CoHgS4
1.0
-3.598 3.598 2.525
3.598 -3.598 2.525
3.598 3.598 -2.525
Co Hg S
1 1 4
Direct
0.000 0.000 0.000 Co
0.250 0.750 0.500 Hg
0.035 0.390 0.012 S
0.378 0.023 0.988 S
0.610 0.622 0.645 S
0.977 0.965 0.355 S
```

Computed properties:
ΔE_f (raw), eV/f.u.: 1.4
Symmetry: I-4 (82)
DOS at the Fermi energy, states/eV per atom: 0.87


# CoHgS

CoHgS after structural relaxation (PBE-GGA, Alexandria).

The structure in POSCAR format:
```
CoHgS
1.0
7.513 0.000 0.000
0.000 6.639 0.000
-1.655 0.000 4.929
Co Hg S
4 4 4
Direct
0.026 0.180 0.435 Co
0.026 0.320 0.935 Co
0.974 0.680 0.065 Co
0.974 0.820 0.565 Co
0.342 0.120 0.924 Hg
0.342 0.380 0.424 Hg
0.658 0.620 0.576 Hg
0.658 0.880 0.076 Hg
0.137 0.589 0.816 S
0.137 0.911 0.316 S
0.863 0.089 0.684 S
0.863 0.411 0.184 S
```

Computed properties:
ΔE_f (raw), eV/f.u.: -0.3
Symmetry: P2_1/c (14)
DOS at the Fermi energy, states/eV per atom: 0.43


# CoHgS3

CoHgS3 after structural relaxation (PBE-GGA, Alexandria).

The structure in POSCAR format:
```
CoHgS3
1.0
4.512 0.000 0.000
0.000 4.512 0.000
0.000 0.000 4.512
Co Hg S
1 1 3
Direct
0.000 0.000 0.000 Co
0.500 0.500 0.500 Hg
0.000 0.000 0.500 S
0.000 0.500 0.000 S
0.500 0.000 0.000 S
```

Computed properties:
ΔE_f (raw), eV/f.u.: 2.1
Symmetry: Pm-3m (221)
DOS at the Fermi energy, states/eV per atom: 1.24


# Co2HgS

Co2HgS after structural relaxation (PBE-GGA, Alexandria).

The structure in POSCAR format:
```
Co2HgS
1.0
-3.198 3.198 3.024
3.198 -3.198 3.024
3.198 3.198 -3.024
Co Hg S
4 2 2
Direct
0.042 0.125 0.417 Co
0.375 0.958 0.083 Co
0.708 0.625 0.583 Co
0.875 0.292 0.917 Co
0.250 0.750 0.500 Hg
0.500 0.500 0.000 Hg
0.000 0.000 0.000 S
0.750 0.250 0.500 S
```

Computed properties:
ΔE_f (raw), eV/f.u.: 1.0
Symmetry: I-42d (122)
DOS at the Fermi energy, states/eV per atom: 0.55


# Co3HgS

Co3HgS after structural relaxation (PBE-GGA, Alexandria).

The structure in POSCAR format:
```
Co3HgS
1.0
4.790 0.000 0.000
0.000 4.790 0.000
0.000 0.000 4.790
Co Hg S
3 1 1
Direct
0.000 0.000 0.500 Co
0.000 0.500 0.000 Co
0.500 0.000 0.000 Co
0.000 0.000 0.000 Hg
0.500 0.500 0.500 S
```

Computed properties:
ΔE_f (raw), eV/f.u.: 8.8
Symmetry: Pm-3m (221)
DOS at the Fermi energy, states/eV per atom: 4.06


# CoHgS2

CoHgS2 after structural relaxation (PBE-GGA, Alexandria).

The structure in POSCAR format:
```
CoHgS2
1.0
3.401 0.000 0.000
-1.701 2.945 0.000
0.000 0.000 15.097
Co Hg S
2 2 4
Direct
0.000 0.000 0.000 Co
0.000 0.000 0.500 Co
0.333 0.667 0.250 Hg
0.667 0.333 0.750 Hg
0.333 0.667 0.073 S
0.333 0.667 0.427 S
0.667 0.333 0.573 S
0.667 0.333 0.927 S
```

Computed properties:
ΔE_f (raw), eV/f.u.: -0.9
Symmetry: P6_3/mmc (194)
DOS at the Fermi energy, states/eV per atom: 0.59


# Co3HgS

Co3HgS after structural relaxation (PBE-GGA, Alexandria).

The structure in POSCAR format:
```
Co3HgS
1.0
4.158 0.000 0.000
0.000 4.158 0.000
0.000 0.000 4.158
Co Hg S
3 1 1
Direct
0.000 0.000 0.500 Co
0.000 0.500 0.000 Co
0.500 0.000 0.000 Co
0.500 0.500 0.500 Hg
0.000 0.000 0.000 S
```

Computed properties:
ΔE_f (raw), eV/f.u.: 1.0
Symmetry: Pm-3m (221)
DOS at the Fermi energy, states/eV per atom: 0.89


# Ta2CoHg2S6

Ta2CoHg2S6 after structural relaxation (PBE-GGA, Alexandria).

The structure in POSCAR format:
```
Ta2CoHg2S6
1.0
2.852 -5.143 0.000
2.852 5.143 0.000
-2.344 0.000 9.194
Ta Co Hg S
2 1 2 6
Direct
0.150 0.850 0.000 Ta
0.850 0.150 0.000 Ta
0.500 0.500 0.000 Co
0.249 0.751 0.500 Hg
0.751 0.249 0.500 Hg
0.120 0.120 0.831 S
0.251 0.576 0.150 S
0.424 0.749 0.850 S
0.576 0.251 0.150 S
0.749 0.424 0.850 S
0.880 0.880 0.169 S
```

Computed properties:
ΔE_f (raw), eV/f.u.: -6.8
Symmetry: C2/m (12)
DOS at the Fermi energy, states/eV per atom: 0.31


# V2CoHg2S6

V2CoHg2S6 after structural relaxation (PBE-GGA, Alexandria).

The structure in POSCAR format:
```
V2CoHg2S6
1.0
2.816 -4.725 0.000
2.816 4.725 0.000
-2.531 0.000 9.151
V Co Hg S
2 1 2 6
Direct
0.189 0.811 0.000 V
0.811 0.189 0.000 V
0.500 0.500 0.000 Co
0.170 0.830 0.500 Hg
0.830 0.170 0.500 Hg
0.104 0.104 0.859 S
0.245 0.559 0.160 S
0.441 0.755 0.840 S
0.559 0.245 0.160 S
0.755 0.441 0.840 S
0.896 0.896 0.141 S
```

Computed properties:
ΔE_f (raw), eV/f.u.: -5.7
Symmetry: C2/m (12)
DOS at the Fermi energy, states/eV per atom: 0.43


# V2CoHgS

V2CoHgS after structural relaxation (PBE-GGA, Alexandria).

The structure in POSCAR format:
```
V2CoHgS
1.0
4.344 0.000 0.000
0.000 4.344 0.000
0.000 0.000 4.835
V Co Hg S
2 1 1 1
Direct
0.000 0.500 0.000 V
0.500 0.000 0.000 V
0.000 0.000 0.000 Co
0.000 0.000 0.500 Hg
0.500 0.500 0.500 S
```

Computed properties:
ΔE_f (raw), eV/f.u.: 4.3
Symmetry: P4/mmm (123)
DOS at the Fermi energy, states/eV per atom: 1.36


# CoHg2Sb

CoHg2Sb after structural relaxation (PBE-GGA, Alexandria).

The structure in POSCAR format:
```
CoHg2Sb
1.0
1.677 0.968 8.949
-1.677 0.968 8.949
0.000 -1.936 8.949
Co Hg Sb
1 2 1
Direct
0.000 0.000 0.000 Co
0.262 0.262 0.262 Hg
0.738 0.738 0.738 Hg
0.500 0.500 0.500 Sb
```

Computed properties:
ΔE_f (raw), eV/f.u.: 1.8
Symmetry: R-3m (166)
DOS at the Fermi energy, states/eV per atom: 0.69


# Co2HgSb

Co2HgSb after structural relaxation (PBE-GGA, Alexandria).

The structure in POSCAR format:
```
Co2HgSb
1.0
1.936 1.118 5.948
-1.936 1.118 5.948
0.000 -2.236 5.948
Co Hg Sb
2 1 1
Direct
0.000 0.000 0.000 Co
0.308 0.308 0.308 Co
0.762 0.762 0.762 Hg
0.565 0.565 0.565 Sb
```

Computed properties:
ΔE_f (raw), eV/f.u.: 1.2
Symmetry: R3m (160)
DOS at the Fermi energy, states/eV per atom: 0.70


# CoHg2Sb

CoHg2Sb after structural relaxation (PBE-GGA, Alexandria).

The structure in POSCAR format:
```
CoHg2Sb
1.0
3.871 0.000 0.000
0.000 3.128 0.000
-1.907 0.000 7.152
Co Hg Sb
1 2 1
Direct
0.000 0.000 0.000 Co
0.211 0.000 0.417 Hg
0.852 0.500 0.692 Hg
0.548 0.500 0.097 Sb
```

Computed properties:
ΔE_f (raw), eV/f.u.: 0.8
Symmetry: Pm (6)
DOS at the Fermi energy, states/eV per atom: 0.71


# CoHg2Sb

CoHg2Sb after structural relaxation (PBE-GGA, Alexandria).

The structure in POSCAR format:
```
CoHg2Sb
1.0
-2.063 2.063 4.823
2.063 -2.063 4.823
2.063 2.063 -4.823
Co Hg Sb
1 2 1
Direct
0.000 0.000 0.000 Co
0.250 0.750 0.500 Hg
0.750 0.250 0.500 Hg
0.500 0.500 0.000 Sb
```

Computed properties:
ΔE_f (raw), eV/f.u.: 2.0
Symmetry: I4/mmm (139)
DOS at the Fermi energy, states/eV per atom: 0.82


# Co2HgSb

Co2HgSb after structural relaxation (PBE-GGA, Alexandria).

The structure in POSCAR format:
```
Co2HgSb
1.0
-1.479 2.170 5.388
1.479 -2.170 5.388
1.479 2.170 -5.388
Co Hg Sb
2 1 1
Direct
0.000 0.000 0.000 Co
0.810 0.310 0.500 Co
0.323 0.823 0.500 Hg
0.598 0.598 0.000 Sb
```

Computed properties:
ΔE_f (raw), eV/f.u.: 1.5
Symmetry: Imm2 (44)
DOS at the Fermi energy, states/eV per atom: 1.12


# CoHg2Sb

CoHg2Sb after structural relaxation (PBE-GGA, Alexandria).

The structure in POSCAR format:
```
CoHg2Sb
1.0
2.765 -5.506 0.000
2.765 5.506 0.000
-1.922 0.000 2.836
Co Hg Sb
1 2 1
Direct
0.000 0.000 0.000 Co
0.000 0.500 0.000 Hg
0.500 0.000 0.000 Hg
0.500 0.500 0.000 Sb
```

Computed properties:
ΔE_f (raw), eV/f.u.: 1.8
Symmetry: C2/m (12)
DOS at the Fermi energy, states/eV per atom: 0.90


# CoHg2Sb

CoHg2Sb after structural relaxation (PBE-GGA, Alexandria).

The structure in POSCAR format:
```
CoHg2Sb
1.0
-1.508 2.290 6.391
1.508 -2.290 6.391
1.508 2.290 -6.391
Co Hg Sb
1 2 1
Direct
0.000 0.000 0.000 Co
0.485 0.485 0.000 Hg
0.816 0.316 0.500 Hg
0.162 0.662 0.500 Sb
```

Computed properties:
ΔE_f (raw), eV/f.u.: 0.8
Symmetry: Imm2 (44)
DOS at the Fermi energy, states/eV per atom: 0.81


# Co2Hg2Sb

Co2Hg2Sb after structural relaxation (PBE-GGA, Alexandria).

The structure in POSCAR format:
```
Co2Hg2Sb
1.0
6.513 0.000 0.000
0.000 6.513 0.000
0.000 0.000 4.194
Co Hg Sb
4 4 2
Direct
0.137 0.363 0.000 Co
0.363 0.863 0.000 Co
0.637 0.137 0.000 Co
0.863 0.637 0.000 Co
0.161 0.661 0.500 Hg
0.339 0.161 0.500 Hg
0.661 0.839 0.500 Hg
0.839 0.339 0.500 Hg
0.000 0.000 0.000 Sb
0.500 0.500 0.000 Sb
```

Computed properties:
ΔE_f (raw), eV/f.u.: 1.7
Symmetry: P4/mbm (127)
DOS at the Fermi energy, states/eV per atom: 1.01


# Co2HgSb

Co2HgSb after structural relaxation (PBE-GGA, Alexandria).

The structure in POSCAR format:
```
Co2HgSb
1.0
4.294 0.000 0.000
0.000 3.172 0.000
-1.844 0.000 4.942
Co Hg Sb
2 1 1
Direct
0.000 0.000 0.000 Co
0.500 0.500 0.500 Co
0.000 0.000 0.500 Hg
0.500 0.500 0.000 Sb
```

Computed properties:
ΔE_f (raw), eV/f.u.: 1.8
Symmetry: P2/m (10)
DOS at the Fermi energy, states/eV per atom: 1.32


# CoHg2Sb

CoHg2Sb after structural relaxation (PBE-GGA, Alexandria).

The structure in POSCAR format:
```
CoHg2Sb
1.0
2.183 -2.192 0.000
2.183 2.192 0.000
0.000 0.000 8.904
Co Hg Sb
1 2 1
Direct
0.000 0.000 0.000 Co
0.500 0.500 0.194 Hg
0.500 0.500 0.806 Hg
0.000 0.000 0.500 Sb
```

Computed properties:
ΔE_f (raw), eV/f.u.: 1.7
Symmetry: Cmmm (65)
DOS at the Fermi energy, states/eV per atom: 1.45